1.
Density functional theory data (PBE) for a relaxed ErFe4Si2 crystal.

As for the total energy: -7.50 eV/atom. Its symmetry is No. 136. The formation energy (no corrections) comes out at -0.467 eV/atom. The total moment comes out at 3.95 μB per formula unit.

Geometry as POSCAR:
```
ErFe4Si2
1.0
3.7394 0.0000 0.0000
0.0000 7.0418 0.0000
0.0000 0.0000 7.0418
Er Fe Si
2 8 4
Cartesian
1.8697 0.0000 0.0000
0.0000 3.5209 3.5209
0.0000 0.6061 2.4829
0.0000 6.4357 4.5590
1.8697 1.0381 4.1270
1.8697 6.0038 2.9148
1.8697 2.9148 6.0038
1.8697 4.1270 1.0381
0.0000 2.4829 0.6061
0.0000 4.5590 6.4357
0.0000 1.5404 5.5014
0.0000 5.5014 1.5404
1.8697 5.0613 5.0613
1.8697 1.9805 1.9805
```

2.
Density functional theory data (PBE) for a relaxed ErFe10Si2 crystal.

As for the total energy: -7.95 eV/atom. Its symmetry is No. 71. The formation energy (no corrections) comes out at -0.254 eV/atom. The total moment comes out at 20.36 μB per formula unit.

Geometry as POSCAR:
```
ErFe10Si2
1.0
4.7447 0.0000 0.0000
2.3723 5.8632 -0.0024
-2.3723 -0.0391 5.8631
Er Fe Si
1 10 2
Cartesian
0.0000 0.0000 0.0000
2.3723 2.0910 3.7463
2.3723 3.7331 2.1144
0.0000 2.0631 2.0761
0.0000 3.7610 3.7846
2.3723 4.6153 4.6443
2.3723 1.2088 1.2164
1.1862 -0.0195 2.9315
-1.1862 -0.0195 2.9315
3.5585 2.9316 -0.0012
1.1862 2.9316 -0.0012
4.7447 4.4835 1.3687
0.0000 1.3406 4.4920
```

Q: Which value of total moment does entry 2 give?
A: 20.36 μB per formula unit

Q: The highest total energy belongs to which entry?
A: ErFe4Si2

Repeat the first record exactly.
Density functional theory data (PBE) for a relaxed ErFe4Si2 crystal.

As for the total energy: -7.50 eV/atom. Its symmetry is No. 136. The formation energy (no corrections) comes out at -0.467 eV/atom. The total moment comes out at 3.95 μB per formula unit.

Geometry as POSCAR:
```
ErFe4Si2
1.0
3.7394 0.0000 0.0000
0.0000 7.0418 0.0000
0.0000 0.0000 7.0418
Er Fe Si
2 8 4
Cartesian
1.8697 0.0000 0.0000
0.0000 3.5209 3.5209
0.0000 0.6061 2.4829
0.0000 6.4357 4.5590
1.8697 1.0381 4.1270
1.8697 6.0038 2.9148
1.8697 2.9148 6.0038
1.8697 4.1270 1.0381
0.0000 2.4829 0.6061
0.0000 4.5590 6.4357
0.0000 1.5404 5.5014
0.0000 5.5014 1.5404
1.8697 5.0613 5.0613
1.8697 1.9805 1.9805
```

Q: Which of these has the lowest total moment?
A: ErFe4Si2